NbFe5P6O24 | PBE+U | optimized geometry

Structure (POSCAR):
```
NbFe5P6O24
1.0
-4.212 7.449 0.830
-8.511 -0.110 1.215
-3.165 2.192 7.687
Nb Fe P O
1 5 6 24
direct
0.857 0.857 0.857
0.004 0.004 0.004
0.357 0.357 0.357
0.501 0.501 0.501
0.145 0.145 0.145
0.643 0.643 0.643
0.747 0.045 0.450
0.045 0.450 0.747
0.450 0.747 0.045
0.538 0.255 0.958
0.958 0.538 0.255
0.255 0.958 0.538
0.887 0.496 0.683
0.496 0.683 0.887
0.683 0.887 0.496
0.909 0.060 0.259
0.818 0.992 0.615
0.591 0.239 0.447
0.060 0.259 0.909
0.239 0.447 0.591
0.390 0.179 0.001
0.447 0.591 0.239
0.740 0.093 0.936
0.001 0.390 0.179
0.992 0.615 0.818
0.259 0.909 0.060
0.555 0.411 0.762
0.615 0.818 0.992
0.762 0.555 0.411
0.936 0.740 0.093
0.411 0.762 0.555
0.179 0.001 0.390
0.093 0.936 0.740
0.313 0.115 0.507
0.507 0.313 0.115
0.115 0.507 0.313
```

VASP energy: -263.85 eV/cell